The following is a GGA+U calculation of a geometry-optimized Ca2ZnMoO5 structure, from Alexandria via LeMat-Bulk.

It has space group P4/mbm (No. 127), with a = 6.562 Å, b = 6.562 Å, c = 5.817 Å, α = 90.00°, β = 90.00° and γ = 90.00°. The asymmetric unit holds Ca at (0.178, 0.322, 0.000), Zn at (0.000, 0.000, 0.500), Mo at (0.000, 0.500, 0.500), O at (0.000, 0.000, 0.000) and O at (0.142, 0.642, 0.267).

As for the total energy: -0.4294 Ry per atom. Its crystal system is tetragonal. The total magnetization is 0.05 Bohr magnetons per cell.